Entry 1:
Here is a relaxed AlCr2Rh crystal from Alexandria. Energies are from GGA-PBE.

Cell and atoms, written as CIF:
```
data_AlCr2Rh
_symmetry_space_group_name_H-M 'I -4 2 d'
_symmetry_Int_Tables_number 122
_symmetry_space_group_name_Hall 'I -4 2bw'
_cell_length_a 6.875
_cell_length_b 6.875
_cell_length_c 4.871
_cell_angle_alpha 90.00
_cell_angle_beta 90.00
_cell_angle_gamma 90.00
loop_
_atom_site_label
_atom_site_type_symbol
_atom_site_fract_x
_atom_site_fract_y
_atom_site_fract_z
Al1 Al 0.000 0.000 0.000
Cr1 Cr 0.228 0.750 0.625
Rh1 Rh 0.000 0.000 0.500
```

D(E_F), states/eV/atom: 1.27
Density, kg/m3: 6747

***

Entry 2:
Here is a relaxed Al4CrRh5 crystal from Alexandria. Energies are from GGA-PBE.

Cell and atoms, written as CIF:
```
data_Al4CrRh5
_symmetry_space_group_name_H-M 'P 4/m m m'
_symmetry_Int_Tables_number 123
_symmetry_space_group_name_Hall '-P 4 2'
_cell_length_a 3.004
_cell_length_b 3.004
_cell_length_c 15.135
_cell_angle_alpha 90.00
_cell_angle_beta 90.00
_cell_angle_gamma 90.00
loop_
_atom_site_label
_atom_site_type_symbol
_atom_site_fract_x
_atom_site_fract_y
_atom_site_fract_z
Al1 Al 0.000 0.000 0.100
Al2 Al 0.000 0.000 0.300
Cr1 Cr 0.000 0.000 0.500
Rh1 Rh 0.500 0.500 0.000
Rh2 Rh 0.500 0.500 0.198
Rh3 Rh 0.500 0.500 0.396
```

D(E_F), states/eV/atom: 0.57
Density, kg/m3: 8201

***

no.,calculated formation energy (meV/atom)
1,471
2,-864